Here is PuZnCo2 after structural relaxation from Alexandria. Energies are from PBE-GGA. Values from VASP.

```
&SYSTEM
  ibrav = 0, nat = 8, ntyp = 3
/
ATOMIC_SPECIES
Co 58.93 Co.upf
Zn 65.41 Zn.upf
Pu 244.00 Pu.upf
ATOMIC_POSITIONS crystal
Co 0.000 0.750 0.885
Zn 0.500 0.750 0.649
Co 0.500 0.000 0.000
Co 0.000 0.250 0.115
Co 0.500 0.500 0.000
Zn 0.500 0.250 0.351
Pu 0.000 0.750 0.297
Pu 0.000 0.250 0.703
CELL_PARAMETERS angstrom
-3.405 -0.032 -2.219
-2.558 -1.072 3.940
-0.830 6.331 1.183
```

Computed properties:
crystal system: orthorhombic
symmetry: No. 51
calculated volume: 127.2 Å³ per cell
formation energy: -0.117 eV per atom

Here is CeErHg4 after structural relaxation from Alexandria. Energies are from PBE-GGA. Values from VASP.

```
&SYSTEM
  ibrav = 0, nat = 6, ntyp = 3
/
ATOMIC_SPECIES
Er 167.26 Er.upf
Hg 200.59 Hg.upf
Ce 140.12 Ce.upf
ATOMIC_POSITIONS crystal
Er 0.000 0.000 0.000
Hg 0.652 0.015 0.681
Hg 0.348 0.985 0.319
Hg 0.823 0.508 0.845
Ce 0.500 0.500 0.500
Hg 0.177 0.492 0.155
CELL_PARAMETERS angstrom
0.428 -2.441 2.957
3.201 -4.379 -1.561
5.055 3.944 5.040
```

Computed properties:
crystal system: monoclinic
symmetry: No. 12
calculated volume: 154.6 Å³ per cell
formation energy: -0.296 eV per atom
offset from the most stable computed form: 59 meV per atom

Here is In2CuTe after structural relaxation from Alexandria. Energies are from PBE-GGA. Values from VASP.

```
&SYSTEM
  ibrav = 0, nat = 4, ntyp = 3
/
ATOMIC_SPECIES
Te 127.60 Te.upf
In 114.82 In.upf
Cu 63.55 Cu.upf
ATOMIC_POSITIONS crystal
Te 0.478 0.478 0.569
In 0.018 0.018 0.943
Cu 0.755 0.755 0.737
In 0.249 0.249 0.252
CELL_PARAMETERS angstrom
4.178 -0.064 0.060
2.069 3.631 0.060
2.149 1.227 6.821
```

Computed properties:
crystal system: monoclinic
symmetry: No. 8
calculated volume: 103.7 Å³ per cell
uncorrected formation energy: -0.33 kcal/mol of atoms

Here is Ho2Si2Ge after structural relaxation from Alexandria. Energies are from PBE-GGA. Values from VASP.

```
&SYSTEM
  ibrav = 0, nat = 10, ntyp = 3
/
ATOMIC_SPECIES
Si 28.09 Si.upf
Ge 72.64 Ge.upf
Ho 164.93 Ho.upf
ATOMIC_POSITIONS crystal
Si 0.028 0.352 0.592
Si 0.972 0.648 0.408
Ge 0.429 0.833 0.309
Ho 0.902 0.294 0.902
Si 0.625 0.854 0.897
Ho 0.098 0.706 0.098
Ho 0.700 0.243 0.358
Ge 0.571 0.167 0.691
Ho 0.300 0.757 0.642
Si 0.375 0.146 0.103
CELL_PARAMETERS angstrom
4.178 0.000 0.000
2.089 5.274 -0.163
2.089 0.541 9.329
```

Computed properties:
crystal system: monoclinic
symmetry: No. 12
calculated volume: 206.0 Å³ per cell
offset from the most stable computed form: 33 meV per atom
uncorrected formation energy: -14.04 kcal/mol of atoms